VASP calculation (PBE-GGA) on a geometry-optimized AcPmPr6Nd2 structure.

abc: 9.198 9.198 10.023
angles: 93.50 93.50 118.21
Positions (direct):
Ac: 0.023 0.977 0.750
Ac: 0.977 0.023 0.250
Pm: 0.408 0.592 0.250
Pm: 0.592 0.408 0.750
Pr: 0.018 0.562 0.686
Pr: 0.122 0.746 0.054
Pr: 0.254 0.878 0.446
Pr: 0.295 0.501 0.882
Pr: 0.438 0.982 0.814
Pr: 0.499 0.705 0.618
Pr: 0.501 0.295 0.382
Pr: 0.562 0.018 0.186
Pr: 0.705 0.499 0.118
Pr: 0.746 0.122 0.554
Pr: 0.878 0.254 0.946
Pr: 0.982 0.438 0.314
Nd: 0.194 0.306 0.545
Nd: 0.306 0.194 0.045
Nd: 0.694 0.806 0.955
Nd: 0.806 0.694 0.455

Symmetry: No. 15
E_form, kJ per mole of atoms: 11

---

VASP calculation (PBE-GGA) on a geometry-optimized CaZrCd structure.

abc: 7.289 7.289 7.289
angles: 153.15 153.15 38.34
Positions (direct):
Ca: 0.000 0.000 0.000
Zr: 0.310 0.310 0.000
Cd: 0.671 0.671 0.000

Symmetry: No. 107
E_form, kJ per mole of atoms: 5

---

VASP calculation (PBE-GGA) on a geometry-optimized MnGe2Ir structure.

abc: 4.768 4.768 9.333
angles: 113.21 113.21 37.35
Positions (direct):
Mn: 0.000 0.000 0.000
Mn: 0.624 0.624 0.804
Ge: 0.329 0.329 0.769
Ge: 0.531 0.531 0.229
Ge: 0.759 0.759 0.081
Ge: 0.955 0.955 0.568
Ir: 0.287 0.287 0.309
Ir: 0.659 0.659 0.523

Symmetry: No. 8
E_form, kJ per mole of atoms: -8

---

VASP calculation (PBE-GGA) on a geometry-optimized Nd11Hg9Rh4 structure.

abc: 13.314 13.314 3.800
angles: 90.00 90.00 112.69
Positions (direct):
Nd: 0.000 0.000 0.000
Nd: 0.079 0.416 0.000
Nd: 0.165 0.835 0.000
Nd: 0.305 0.305 0.000
Nd: 0.373 0.627 0.000
Nd: 0.416 0.079 0.000
Nd: 0.584 0.921 0.000
Nd: 0.627 0.373 0.000
Nd: 0.695 0.695 0.000
Nd: 0.835 0.165 0.000
Nd: 0.921 0.584 0.000
Hg: 0.068 0.214 0.500
Hg: 0.156 0.632 0.500
Hg: 0.214 0.068 0.500
Hg: 0.368 0.844 0.500
Hg: 0.500 0.500 0.500
Hg: 0.632 0.156 0.500
Hg: 0.786 0.932 0.500
Hg: 0.844 0.368 0.500
Hg: 0.932 0.786 0.500
Rh: 0.250 0.450 0.500
Rh: 0.450 0.250 0.500
Rh: 0.550 0.750 0.500
Rh: 0.750 0.550 0.500

Symmetry: No. 65
E_form, kJ per mole of atoms: -56